Material: Cs2NiCl2F4
Method: DFT, PBE+U
State: optimized geometry

abc: 6.3527 6.3527 6.3527
angles: 111.49 111.49 105.51
Fractional coordinates of all 9 atoms:
Cs 0.2500 0.7500 0.5000
Cs 0.7500 0.2500 0.5000
Ni 0.0000 0.0000 0.0000
Cl 0.3362 0.3362 0.0000
Cl 0.6638 0.6638 0.0000
F 0.1791 0.1791 0.3582
F 0.1791 0.8209 0.0000
F 0.8209 0.1791 0.0000
F 0.8209 0.8209 0.6418

Values from the calculation:
Calculated total energy, eV/cell: -31.72
M_tot, μB/cell: 0.0